[1]
The following is a PBE calculation of a relaxed BaSr2Th crystal, from Alexandria.

abc: 3.8295 3.8295 43.8037
angles: 90.00 90.00 120.00
With the nearest neighbours (Å) after each atom.
Space group R-3m (No. 166, hexagonal axes)
Unique sites:
Ba (0.0000, 0.0000, 0.0000) [3 per cell]  6 Ba 3.83, 6 Sr 4.26
Sr (0.0000, 0.0000, 0.4164) [6 per cell]  1 Th 3.66, 6 Sr 3.83
Th (0.0000, 0.0000, 0.5000) [3 per cell]  2 Sr 3.66, 6 Th 3.83

Summary:
- Energy of formation: 10.28 kcal/mol of atoms

---

[2]
The following is a PBE calculation of a relaxed Pa5Te5N2 crystal, from Alexandria.

abc: 14.0571 3.8777 10.9654
angles: 90.00 99.77 90.00
With the nearest neighbours (Å) after each atom.
Space group C2/m (No. 12)
Unique sites:
Pa (0.0000, 0.0000, 0.0000) [2 per cell]  2 N 2.36
Pa (0.0977, 0.0000, 0.3225) [4 per cell]  1 N 2.26
Pa (0.1351, 0.5000, 0.7948) [4 per cell]  2 N 2.31
Te (0.0000, 0.5000, 0.5000) [2 per cell]  6 Pa 3.22-3.46
Te (0.1710, 0.5000, 0.0984) [4 per cell]  7 Pa 3.13-3.42, 1 Te 3.32
Te (0.2187, 0.0000, 0.6093) [4 per cell]  5 Pa 3.18-3.31, 3 Te 3.32, 1 N 3.48
N (0.0472, 0.0000, 0.8037) [4 per cell]  4 Pa 2.26-2.36

Summary:
- Raw formation energy: -0.998 eV per atom

---

[3]
The following is a PBE calculation of a relaxed CsTi6O12 crystal, from Alexandria.

abc: 9.7794 9.7794 7.5063
angles: 90.00 90.00 120.00
With the nearest neighbours (Å) after each atom.
Space group R-3m (No. 166, hexagonal axes)
Unique sites:
Cs (0.0000, 0.0000, 0.0000) [3 per cell]  18 O 3.13-3.32, 12 Ti 3.49-3.51
Ti (0.0799, 0.5400, 0.2997) [18 per cell]  5 O 1.91-2.10
O (0.0000, 0.3756, 0.5000) [18 per cell]  2 Ti 2.05
O (0.0893, 0.1786, 0.3657) [18 per cell]  3 Ti 1.91-2.10

Summary:
- Polymorph energy (0 for the lowest one): 0.3556 eV per atom
- Raw formation energy: -2.589 eV per atom

---

[4]
The following is a PBE calculation of a relaxed K3SnAu2 crystal, from Alexandria.

abc: 9.2117 9.4879 10.0864
angles: 90.00 107.89 90.00
With the nearest neighbours (Å) after each atom.
Space group P2_1/c (No. 14)
Unique sites:
K (0.1829, 0.0673, 0.1153) [4 per cell]  3 Au 3.25-3.51, 1 K 3.50
K (0.2337, 0.7345, 0.3641) [4 per cell]  4 Au 3.24-3.57, 1 Sn 3.49
K (0.2567, 0.1045, 0.4915) [4 per cell]  4 Au 3.47-3.65, 3 K 3.50-3.72, 2 Sn 3.55-3.88
Sn (0.4334, 0.0761, 0.8563) [4 per cell]  3 Au 2.77-2.92
Au (0.1007, 0.0933, 0.7699) [4 per cell]  1 Sn 2.92
Au (0.4749, 0.6585, 0.1992) [4 per cell]  2 Sn 2.77-2.83

Summary:
- Energy of formation: -5.89 kcal/mol of atoms

---

[5]
The following is a PBE calculation of a relaxed Rb4P21I crystal, from Alexandria.

abc: 22.1065 14.0371 9.9422
angles: 90.00 90.00 90.00
With the nearest neighbours (Å) after each atom.
Space group Cmcm (No. 63)
Unique sites:
Rb (0.0884, 0.1465, 0.2500) [8 per cell]  5 P 3.40-3.56
Rb (0.1189, 0.5000, 0.0000) [8 per cell]  6 P 3.63-3.92, 2 I 3.92
P (0.0000, 0.0529, 0.7500) [4 per cell]  2 P 2.15
P (0.0000, 0.1539, 0.5879) [8 per cell]  3 P 2.15-2.25
P (0.0740, 0.2581, 0.6360) [16 per cell]  3 P 2.20-2.27
P (0.1507, 0.1670, 0.5771) [16 per cell]  3 P 2.20-2.26
P (0.1734, 0.0691, 0.7500) [8 per cell]  3 P 2.15-2.26
P (0.2193, 0.2739, 0.2500) [8 per cell]  3 P 2.16-2.24
P (0.2217, 0.2803, 0.5842) [16 per cell]  3 P 2.24-2.26
P (0.2294, 0.4268, 0.2500) [8 per cell]  2 P 2.15-2.16
I (0.0000, 0.3933, 0.2500) [4 per cell]  6 Rb 3.92-3.98

Summary:
- Raw formation energy: -0.310 eV per atom

---

[6]
The following is a PBE calculation of a relaxed Ni5W4 crystal, from Alexandria.

abc: 8.2947 8.2947 3.4674
angles: 90.00 90.00 90.00
With the nearest neighbours (Å) after each atom.
Space group I4/mmm (No. 139)
Unique sites:
Ni (0.0000, 0.0000, 0.0000) [2 per cell]  8 Ni 2.60, 4 W 2.68
Ni (0.1651, 0.1651, 0.5000) [8 per cell]  6 W 2.57-2.78, 6 Ni 2.60-2.74
W (0.0000, 0.3227, 0.0000) [8 per cell]  7 Ni 2.57-2.78, 4 W 2.71

Summary:
- Polymorph energy (0 for the lowest one): 0.0000 eV per atom
- Energy of formation: 1.66 kcal/mol of atoms

---

Repeat the first record exactly.
The following is a PBE calculation of a relaxed BaSr2Th crystal, from Alexandria.

abc: 3.8295 3.8295 43.8037
angles: 90.00 90.00 120.00
With the nearest neighbours (Å) after each atom.
Space group R-3m (No. 166, hexagonal axes)
Unique sites:
Ba (0.0000, 0.0000, 0.0000) [3 per cell]  6 Ba 3.83, 6 Sr 4.26
Sr (0.0000, 0.0000, 0.4164) [6 per cell]  1 Th 3.66, 6 Sr 3.83
Th (0.0000, 0.0000, 0.5000) [3 per cell]  2 Sr 3.66, 6 Th 3.83

Summary:
- Energy of formation: 10.28 kcal/mol of atoms

---

Question: Number 3 is which compound?
Answer: CsTi6O12